# 1
! DyY4Er6 (PBE-GGA, relaxed); values from VASP
! Space group: I-42m
! Energy of formation: 0.300 eV per atom
&SYSTEM
  ibrav = 0, nat = 11, ntyp = 3
/
ATOMIC_SPECIES
Dy 162.50 Dy.upf
Er 167.26 Er.upf
Y 88.91 Y.upf
ATOMIC_POSITIONS crystal
Dy 0.000 0.000 0.000
Er 0.642 0.191 0.191
Y 0.000 0.639 0.013
Er 0.000 0.809 0.450
Er 0.500 0.000 0.500
Y 0.626 0.987 0.987
Er 0.000 0.450 0.809
Y 0.000 0.013 0.639
Y 0.374 0.361 0.361
Er 0.358 0.550 0.550
Er 0.500 0.500 0.000
CELL_PARAMETERS angstrom
0.705 4.233 -8.671
-6.663 -3.340 6.169
-0.053 2.215 9.418

---

# 2
! Dy4Y11Er9 (PBE-GGA, relaxed); values from VASP
! Space group: Cmmm
! Energy of formation: 0.050 eV per atom
&SYSTEM
  ibrav = 0, nat = 24, ntyp = 3
/
ATOMIC_SPECIES
Er 167.26 Er.upf
Y 88.91 Y.upf
Dy 162.50 Dy.upf
ATOMIC_POSITIONS crystal
Er 0.500 0.214 0.070
Y 0.000 0.045 0.406
Y 0.000 0.955 0.594
Y 0.000 0.367 0.633
Dy 0.500 0.554 0.756
Er 0.500 0.500 0.500
Er 0.500 0.786 0.930
Y 0.000 0.406 0.045
Er 0.500 0.368 0.836
Dy 0.500 0.756 0.554
Y 0.000 0.594 0.955
Y 0.000 0.159 0.841
Er 0.500 0.632 0.164
Dy 0.500 0.446 0.244
Er 0.500 0.836 0.368
Er 0.500 0.164 0.632
Er 0.500 0.070 0.214
Y 0.000 0.841 0.159
Y 0.000 0.292 0.292
Er 0.500 0.930 0.786
Y 0.000 0.708 0.708
Y 0.000 0.633 0.367
Dy 0.500 0.244 0.446
Y 0.000 0.000 0.000
CELL_PARAMETERS angstrom
-1.783 3.015 -1.071
-13.071 -6.391 3.774
6.226 7.699 11.310

---

# 3
! Dy3YEr7 (PBE-GGA, relaxed); values from VASP
! Space group: C2/m
! Energy of formation: 0.277 eV per atom
&SYSTEM
  ibrav = 0, nat = 11, ntyp = 3
/
ATOMIC_SPECIES
Dy 162.50 Dy.upf
Er 167.26 Er.upf
Y 88.91 Y.upf
ATOMIC_POSITIONS crystal
Dy 0.000 0.791 0.209
Er 0.793 0.794 0.794
Dy 0.500 0.000 0.000
Er 0.207 0.206 0.206
Er 0.294 0.599 0.990
Dy 0.000 0.209 0.791
Er 0.706 0.010 0.401
Er 0.706 0.401 0.010
Er 0.000 0.500 0.500
Er 0.294 0.990 0.599
Y 0.500 0.500 0.500
CELL_PARAMETERS angstrom
5.728 -0.183 -0.234
-2.586 7.871 1.082
-2.586 -0.859 7.898

---

# 4
! Dy9Y2Er (PBE-GGA, relaxed); values from VASP
! Space group: P4/mmm
! Energy of formation: 0.022 eV per atom
&SYSTEM
  ibrav = 0, nat = 12, ntyp = 3
/
ATOMIC_SPECIES
Dy 162.50 Dy.upf
Er 167.26 Er.upf
Y 88.91 Y.upf
ATOMIC_POSITIONS crystal
Dy 0.500 0.000 0.500
Dy 0.000 0.500 0.165
Er 0.000 0.000 0.000
Dy 0.000 0.500 0.835
Dy 0.500 0.000 0.165
Dy 0.500 0.500 0.000
Y 0.000 0.000 0.667
Dy 0.500 0.500 0.333
Y 0.000 0.000 0.333
Dy 0.500 0.500 0.667
Dy 0.500 0.000 0.835
Dy 0.000 0.500 0.500
CELL_PARAMETERS angstrom
-4.750 1.189 -1.083
0.769 -1.287 -4.786
-4.237 -14.097 3.110

---

# 5
! Dy2Y5Er (PBE-GGA, relaxed); values from VASP
! Space group: P2_1/m
! Energy of formation: 0.171 eV per atom
&SYSTEM
  ibrav = 0, nat = 16, ntyp = 3
/
ATOMIC_SPECIES
Y 88.91 Y.upf
Dy 162.50 Dy.upf
Er 167.26 Er.upf
ATOMIC_POSITIONS crystal
Y 0.331 0.959 0.423
Dy 0.116 0.422 0.884
Y 0.331 0.959 0.077
Y 0.234 0.691 0.750
Dy 0.884 0.578 0.116
Er 0.504 0.847 0.750
Y 0.669 0.041 0.923
Dy 0.884 0.578 0.384
Dy 0.116 0.422 0.616
Y 0.766 0.309 0.250
Y 0.798 0.325 0.919
Er 0.496 0.153 0.250
Y 0.202 0.675 0.081
Y 0.202 0.675 0.419
Y 0.798 0.325 0.581
Y 0.669 0.041 0.577
CELL_PARAMETERS angstrom
-0.161 -7.653 -4.283
1.700 -3.307 -7.616
10.474 -2.020 3.215

---

# 6
! Dy3Y2Er2 (PBE-GGA, relaxed); values from VASP
! Space group: C2/m
! Energy of formation: 0.022 eV per atom
&SYSTEM
  ibrav = 0, nat = 7, ntyp = 3
/
ATOMIC_SPECIES
Er 167.26 Er.upf
Y 88.91 Y.upf
Dy 162.50 Dy.upf
ATOMIC_POSITIONS crystal
Er 0.855 0.141 0.432
Er 0.145 0.859 0.568
Y 0.286 0.714 0.142
Dy 0.571 0.428 0.285
Y 0.714 0.286 0.858
Dy 0.000 0.000 0.000
Dy 0.429 0.572 0.715
CELL_PARAMETERS angstrom
0.240 2.531 2.457
-11.479 0.883 -2.336
-3.298 -1.887 4.813

---

# 7
! DyY3Er8 (PBE-GGA, relaxed); values from VASP
! Space group: I4/mmm
! Energy of formation: 0.754 eV per atom
&SYSTEM
  ibrav = 0, nat = 12, ntyp = 3
/
ATOMIC_SPECIES
Er 167.26 Er.upf
Y 88.91 Y.upf
Dy 162.50 Dy.upf
ATOMIC_POSITIONS crystal
Er 0.876 0.876 0.249
Er 0.627 0.627 0.751
Y 0.500 0.500 0.000
Er 0.124 0.124 0.751
Er 0.876 0.373 0.249
Er 0.373 0.373 0.249
Er 0.627 0.124 0.751
Y 0.750 0.250 0.500
Dy 0.000 0.000 0.000
Y 0.250 0.750 0.500
Er 0.373 0.876 0.249
Er 0.124 0.627 0.751
CELL_PARAMETERS angstrom
-0.252 -7.064 -2.911
2.829 -2.792 6.530
-8.396 4.064 0.901

---

# 8
! Dy19Y6Er4 (PBE-GGA, relaxed); values from VASP
! Space group: I23
! Energy of formation: 0.386 eV per atom
&SYSTEM
  ibrav = 0, nat = 29, ntyp = 3
/
ATOMIC_SPECIES
Y 88.91 Y.upf
Dy 162.50 Dy.upf
Er 167.26 Er.upf
ATOMIC_POSITIONS crystal
Y 0.371 0.500 0.871
Dy 0.322 0.786 0.981
Dy 0.536 0.195 0.214
Er 0.000 0.000 0.642
Dy 0.741 0.000 0.741
Y 0.871 0.371 0.500
Dy 0.259 0.259 0.000
Dy 0.000 0.000 0.000
Dy 0.000 0.259 0.259
Dy 0.981 0.322 0.786
Dy 0.019 0.805 0.341
Y 0.500 0.871 0.371
Dy 0.659 0.464 0.678
Dy 0.805 0.341 0.019
Er 0.000 0.642 0.000
Dy 0.259 0.000 0.259
Er 0.358 0.358 0.358
Y 0.629 0.500 0.129
Dy 0.000 0.741 0.741
Dy 0.678 0.659 0.464
Dy 0.741 0.741 0.000
Dy 0.464 0.678 0.659
Er 0.642 0.000 0.000
Dy 0.786 0.981 0.322
Dy 0.214 0.536 0.195
Dy 0.195 0.214 0.536
Y 0.129 0.629 0.500
Dy 0.341 0.019 0.805
Y 0.500 0.129 0.629
CELL_PARAMETERS angstrom
10.141 0.000 -3.585
-5.071 8.783 -3.586
0.000 0.000 10.756

---

Number 1: N(E_F) 1.323 states/eV per atom. Number 2: N(E_F) 1.296 states/eV per atom. Number 3: N(E_F) 1.380 states/eV per atom. Number 4: N(E_F) 1.522 states/eV per atom. Number 5: N(E_F) 1.628 states/eV per atom. Number 6: N(E_F) 1.342 states/eV per atom. Number 7: N(E_F) 1.031 states/eV per atom. Number 8: N(E_F) 1.573 states/eV per atom.